Record 1
# TlPS2 PBE relaxed
# Uncorrected energy = -48.29 eV per cell
# Calculated density = 5.6 g cm⁻³
# Formation energy from raw total energies = -0.02 eV per atom
# N(E_F) = 0.61 states/eV per atom
data_TlPS2
_chemical_formula_sum 'Tl3 P3 S6'
_cell_length_a 3.4004
_cell_length_b 3.4004
_cell_length_c 26.7972
_cell_angle_alpha 90.00
_cell_angle_beta 90.00
_cell_angle_gamma 120.00
_space_group_name_H-M_alt 'R -3 m'
_space_group_IT_number 166
_space_group_name_Hall '-R 3 2"'
loop_
_atom_site_label
_atom_site_type_symbol
_atom_site_fract_x
_atom_site_fract_y
_atom_site_fract_z
Tl1 Tl 0.0000 0.0000 0.0000
P1 P 0.0000 0.0000 0.5000
S1 S 0.0000 0.0000 0.1158

Record 2
# TlP3S PBE relaxed
# Uncorrected energy = -18.58 eV per cell
# Calculated density = 5.4 g cm⁻³
# Formation energy from raw total energies = 0.83 eV per atom
# N(E_F) = 1.05 states/eV per atom
data_TlP3S
_chemical_formula_sum 'Tl1 P3 S1'
_cell_length_a 4.667
_cell_length_b 4.667
_cell_length_c 4.667
_cell_angle_alpha 90.00
_cell_angle_beta 90.00
_cell_angle_gamma 90.00
_space_group_name_H-M_alt 'P m -3 m'
_space_group_IT_number 221
_space_group_name_Hall '-P 4 2 3'
loop_
_atom_site_label
_atom_site_type_symbol
_atom_site_fract_x
_atom_site_fract_y
_atom_site_fract_z
Tl1 Tl 0.000 0.000 0.000
P1 P 0.000 0.500 0.500
S1 S 0.500 0.500 0.500

Record 3
# Tl4PS5 PBE relaxed
# Uncorrected energy = -74.45 eV per cell
# Calculated density = 6.4 g cm⁻³
# Formation energy from raw total energies = -0.17 eV per atom
# N(E_F) = 0.44 states/eV per atom
data_Tl4PS5
_chemical_formula_sum 'Tl8 P2 S10'
_cell_length_a 9.441
_cell_length_b 9.441
_cell_length_c 5.850
_cell_angle_alpha 90.00
_cell_angle_beta 90.00
_cell_angle_gamma 90.00
_space_group_name_H-M_alt 'I 4'
_space_group_IT_number 79
loop_
_space_group_symop_operation_xyz
'x,y,z'
'-y,x,z'
'-x,-y,z'
'y,-x,z'
'x+1/2,y+1/2,z+1/2'
'-y+1/2,x+1/2,z+1/2'
'-x+1/2,-y+1/2,z+1/2'
'y+1/2,-x+1/2,z+1/2'
loop_
_atom_site_label
_atom_site_type_symbol
_atom_site_fract_x
_atom_site_fract_y
_atom_site_fract_z
Tl1 Tl 0.066 0.687 0.000
P1 P 0.000 0.000 0.579
S1 S 0.000 0.000 0.939
S2 S 0.116 0.806 0.495

Record 4
# TlP3S PBE relaxed
# Uncorrected energy = -13.62 eV per cell
# Calculated density = 4.0 g cm⁻³
# Formation energy from raw total energies = 1.82 eV per atom
# N(E_F) = 0.90 states/eV per atom
data_TlP3S
_chemical_formula_sum 'Tl1 P3 S1'
_cell_length_a 5.139
_cell_length_b 5.139
_cell_length_c 5.139
_cell_angle_alpha 90.00
_cell_angle_beta 90.00
_cell_angle_gamma 90.00
_space_group_name_H-M_alt 'P m -3 m'
_space_group_IT_number 221
_space_group_name_Hall '-P 4 2 3'
loop_
_atom_site_label
_atom_site_type_symbol
_atom_site_fract_x
_atom_site_fract_y
_atom_site_fract_z
Tl1 Tl 0.000 0.000 0.000
P1 P 0.000 0.000 0.500
S1 S 0.500 0.500 0.500

Record 5
# Tl3PS4 PBE relaxed
# Uncorrected energy = -64.06 eV per cell
# Calculated density = 5.1 g cm⁻³
# Formation energy from raw total energies = -0.38 eV per atom
data_Tl3PS4
_chemical_formula_sum 'Tl6 P2 S8'
_cell_length_a 9.166
_cell_length_b 8.989
_cell_length_c 6.116
_cell_angle_alpha 90.00
_cell_angle_beta 90.00
_cell_angle_gamma 90.00
_space_group_name_H-M_alt 'P m n 21'
_space_group_IT_number 31
loop_
_space_group_symop_operation_xyz
'x,y,z'
'-x+1/2,-y,z+1/2'
'-x,y,z'
'x+1/2,-y,z+1/2'
loop_
_atom_site_label
_atom_site_type_symbol
_atom_site_fract_x
_atom_site_fract_y
_atom_site_fract_z
Tl1 Tl 0.000 0.104 0.000
Tl2 Tl 0.199 0.322 0.500
P1 P 0.000 0.785 0.399
S1 S 0.000 0.004 0.493
S2 S 0.000 0.776 0.058
S3 S 0.188 0.681 0.501

Record 6
# Tl2PS4 PBE relaxed
# Uncorrected energy = -113.92 eV per cell
# Calculated density = 5.0 g cm⁻³
# Formation energy from raw total energies = -0.26 eV per atom
# N(E_F) = 0.23 states/eV per atom
data_Tl2PS4
_chemical_formula_sum 'Tl8 P4 S16'
_cell_length_a 8.036
_cell_length_b 11.430
_cell_length_c 8.719
_cell_angle_alpha 90.00
_cell_angle_beta 109.74
_cell_angle_gamma 90.00
_space_group_name_H-M_alt 'C 1 2/c 1'
_space_group_IT_number 15
loop_
_space_group_symop_operation_xyz
'x,y,z'
'-x,-y,-z'
'-x,y,-z+1/2'
'x,-y,z+1/2'
'x+1/2,y+1/2,z'
'-x+1/2,-y+1/2,-z'
'-x+1/2,y+1/2,-z+1/2'
'x+1/2,-y+1/2,z+1/2'
loop_
_atom_site_label
_atom_site_type_symbol
_atom_site_fract_x
_atom_site_fract_y
_atom_site_fract_z
Tl1 Tl 0.000 0.022 0.250
Tl2 Tl 0.000 0.320 0.750
P1 P 0.000 0.358 0.250
S1 S 0.111 0.253 0.116
S2 S 0.188 0.461 0.406